No. 1
# SmYGa2

A relaxed structure of SmYGa2 (GGA-PBE, Alexandria via LeMat-Bulk).

Cell: 3.7164 3.7164 26.1388 Å, 90.00 90.00 120.00°
Closest atoms and distances in Å follow each position.
Space group R-3m (No. 166, hexagonal axes)
One atom of each set of equivalent atoms:
Sm1 0.0000 0.0000 0.0000 (multiplicity 3)  6 Ga 3.08
Y1 0.0000 0.0000 0.5000 (multiplicity 3)  6 Ga 3.03
Ga1 0.0000 0.0000 0.2486 (multiplicity 6)  3 Y 3.03, 3 Sm 3.08

No. 2
# CeThAlTc

A relaxed structure of CeThAlTc (GGA-PBE, Alexandria via LeMat-Bulk).

Cell: 7.1913 7.1913 7.1913 Å, 90.00 90.00 90.00°
Closest atoms and distances in Å follow each position.
Space group F-43m (No. 216)
One atom of each set of equivalent atoms:
Ce1 0.0000 0.0000 0.0000 (multiplicity 4)  4 Tc 3.11, 4 Al 3.11
Th1 0.0000 0.0000 0.5000 (multiplicity 4)  4 Tc 3.11, 4 Al 3.11
Al1 0.2500 0.2500 0.2500 (multiplicity 4)  4 Th 3.11, 4 Ce 3.11
Tc1 0.2500 0.2500 0.7500 (multiplicity 4)  4 Th 3.11, 4 Ce 3.11

No. 3
# YSiHg

A relaxed structure of YSiHg (GGA-PBE, Alexandria via LeMat-Bulk).

Cell: 4.4704 5.5672 11.0184 Å, 90.00 90.00 90.00°
Closest atoms and distances in Å follow each position.
Space group Fmm2 (No. 42)
One atom of each set of equivalent atoms:
Y1 0.0000 0.0000 0.0000 (multiplicity 4)  2 Si 2.89, 2 Hg 3.09
Si1 0.0000 0.0000 0.3344 (multiplicity 4)  2 Hg 2.72, 2 Y 2.89
Hg1 0.0000 0.0000 0.6934 (multiplicity 4)  2 Si 2.72

Summary:
raw formation energy: -0.170 eV per atom

No. 4
# CdTc2Mo

A relaxed structure of CdTc2Mo (GGA-PBE, Alexandria via LeMat-Bulk).

Cell: 9.6334 2.8960 4.7872 Å, 90.00 103.51 90.00°
Closest atoms and distances in Å follow each position.
Space group Cm (No. 8)
One atom of each set of equivalent atoms:
Cd1 0.0000 0.0000 0.0000 (multiplicity 2)  7 Tc 2.79-2.94, 2 Cd 2.90, 3 Mo 2.90-2.98
Tc1 0.0097 0.5000 0.5064 (multiplicity 2)  4 Tc 2.64-2.90, 3 Mo 2.76-2.90, 4 Cd 2.79-2.81
Tc2 0.2385 0.0000 0.7254 (multiplicity 2)  2 Mo 2.62, 4 Tc 2.64-2.90, 1 Cd 2.90
Mo1 0.2653 0.5000 0.2846 (multiplicity 2)  5 Tc 2.62-2.90, 2 Mo 2.90, 1 Cd 2.90

No. 5
# BeRhBr2

A relaxed structure of BeRhBr2 (GGA-PBE, Alexandria via LeMat-Bulk).

Cell: 3.5647 3.5647 12.8053 Å, 90.00 90.00 90.00°
Closest atoms and distances in Å follow each position.
Space group I-4m2 (No. 119)
One atom of each set of equivalent atoms:
Be1 0.0000 0.0000 0.0000 (multiplicity 2)  4 Br 2.52
Rh1 0.0000 0.5000 0.2500 (multiplicity 2)  4 Br 2.52
Br1 0.0000 0.0000 0.5000 (multiplicity 2)  4 Be 2.52
Br2 0.0000 0.5000 0.7500 (multiplicity 2)  4 Rh 2.52

Summary:
raw formation energy: 0.547 eV per atom

No. 6
# KLiMnI5

A relaxed structure of KLiMnI5 (GGA-PBE, Alexandria via LeMat-Bulk).

Cell: 10.2156 13.7048 10.5697 Å, 90.00 117.46 90.00°
Closest atoms and distances in Å follow each position.
Space group C2/c (No. 15)
One atom of each set of equivalent atoms:
K1 0.0000 0.1798 0.2500 (multiplicity 4)  7 I 3.56-3.72
Li1 0.0000 0.5000 0.0000 (multiplicity 4)  2 I 2.77
Mn1 0.0000 0.1675 0.7500 (multiplicity 4)  4 I 2.61-2.64
I1 0.0000 0.4395 0.2500 (multiplicity 4)  2 Li 2.77
I2 0.1010 0.2797 0.6109 (multiplicity 8)  1 Mn 2.64
I3 0.1742 0.0443 0.9431 (multiplicity 8)  1 Mn 2.61

Summary:
raw formation energy: -0.783 eV per atom

No. 7
# LiCoAsBr2

A relaxed structure of LiCoAsBr2 (GGA-PBE, Alexandria via LeMat-Bulk).

Cell: 5.2613 5.2613 4.3473 Å, 90.00 90.00 90.00°
Closest atoms and distances in Å follow each position.
Space group P4/mmm (No. 123)
One atom of each set of equivalent atoms:
Li1 0.0000 0.0000 0.0000 (multiplicity 1)  8 Br 3.41, 4 As 3.72
Co1 0.5000 0.5000 0.5000 (multiplicity 1)  2 As 2.17
As1 0.5000 0.5000 0.0000 (multiplicity 1)  2 Co 2.17
Br1 0.0000 0.5000 0.5000 (multiplicity 2)  2 Co 2.63

Summary:
raw formation energy: -0.171 eV per atom

No. 8
# LiCd2Cl

A relaxed structure of LiCd2Cl (GGA-PBE, Alexandria via LeMat-Bulk).

Cell: 7.5350 7.5350 7.5350 Å, 90.00 90.00 90.00°
Closest atoms and distances in Å follow each position.
Space group Fm-3m (No. 225)
One atom of each set of equivalent atoms:
Li1 0.0000 0.0000 0.0000 (multiplicity 4)  8 Cd 3.26
Cd1 0.2500 0.2500 0.2500 (multiplicity 8)  4 Cl 3.26, 4 Li 3.26
Cl1 0.0000 0.0000 0.5000 (multiplicity 4)  8 Cd 3.26

Summary:
raw formation energy: -0.143 eV per atom

| no. | E (eV for the cell shown) |
| --- | --- |
| 1 | -56.735 |
| 2 | -111.223 |
| 3 | -50.790 |
| 4 | -61.939 |
| 5 | -24.474 |
| 6 | -104.778 |
| 7 | -17.869 |
| 8 | -24.644 |